# Be2Cu2Bi PBE relaxed
data_Be2Cu2Bi
_space_group_name_H-M_alt 'I 4/m m m'
_space_group_IT_number 139
_space_group_name_Hall '-I 4 2'
_cell_length_a 3.238
_cell_length_b 3.238
_cell_length_c 14.397
_cell_angle_alpha 90.00
_cell_angle_beta 90.00
_cell_angle_gamma 90.00
loop_
_atom_site_label
_atom_site_fract_x
_atom_site_fract_y
_atom_site_fract_z
Be1 0.000 0.500 0.250
Cu1 0.000 0.000 0.138
Bi1 0.000 0.000 0.500
# - calculated total energy (eV per atom) = -3.627
# - formation energy from the elements (eV per atom) = 0.278
# - E above lowest polymorph (eV per atom) = 0.000